A geometry-optimized Er2Ag structure. Source: Alexandria, functional GGA-PBE. Values from VASP.

Results
The density of states at the Fermi level comes out at 0.840 states/eV/atom. As for the formation energy: -19.9 kJ per mole of atoms.

The structure in Quantum ESPRESSO input format:
```
&SYSTEM
  ibrav = 0, nat = 6, ntyp = 2
/
ATOMIC_SPECIES
Er 167.26 Er.upf
Ag 107.87 Ag.upf
CELL_PARAMETERS angstrom
3.5827 0.0000 0.0000
0.0000 3.5827 0.0000
0.0000 0.0000 12.1360
ATOMIC_POSITIONS angstrom
Er 0.0000 0.0000 0.0000
Er 0.0000 0.0000 3.6346
Er 0.0000 0.0000 8.5013
Er 1.7914 1.7914 6.0680
Ag 1.7914 1.7914 1.8171
Ag 1.7914 1.7914 10.3189
```

A geometry-optimized Th2MnAu structure. Source: Alexandria, functional GGA-PBE. Values from VASP.

Results
The density of states at the Fermi level comes out at 0.964 states/eV/atom. As for the formation energy: -13.5 kJ per mole of atoms.

The structure in Quantum ESPRESSO input format:
```
&SYSTEM
  ibrav = 0, nat = 4, ntyp = 3
/
ATOMIC_SPECIES
Th 232.04 Th.upf
Mn 54.94 Mn.upf
Au 196.97 Au.upf
CELL_PARAMETERS angstrom
3.4413 0.0000 0.0000
0.0000 3.4413 0.0000
0.0000 0.0000 7.8871
ATOMIC_POSITIONS angstrom
Th 0.0000 0.0000 1.7477
Th 0.0000 0.0000 6.1395
Mn 1.7207 1.7207 0.0000
Au 1.7207 1.7207 3.9436
```

A geometry-optimized KLiPr2Cl8 structure. Source: Alexandria, functional GGA-PBE. Values from VASP.

Results
The uncorrected formation energy is -2445 kJ/mol of formula units. The density of states at the Fermi level comes out at 0.000 states/eV/atom.

The structure in Quantum ESPRESSO input format:
```
&SYSTEM
  ibrav = 0, nat = 12, ntyp = 4
/
ATOMIC_SPECIES
K 39.10 K.upf
Li 6.94 Li.upf
Pr 140.91 Pr.upf
Cl 35.45 Cl.upf
CELL_PARAMETERS angstrom
6.7221 0.0000 0.0000
0.0000 8.6593 0.0000
-0.7200 0.0000 6.6912
ATOMIC_POSITIONS angstrom
K 0.0000 0.0000 0.0000
Li 0.0000 4.3296 0.0000
Pr 3.0010 2.2309 3.3456
Pr 3.0010 6.4284 3.3456
Cl 1.2218 2.4819 1.3024
Cl 1.2218 6.1774 1.3024
Cl 1.5906 4.3296 4.5657
Cl 1.6684 0.0000 4.4924
Cl 4.3337 0.0000 2.1988
Cl 4.4114 4.3296 2.1255
Cl 4.7803 2.4819 5.3888
Cl 4.7803 6.1774 5.3888
```

A geometry-optimized BaReSb2Ru structure. Source: Alexandria, functional GGA-PBE. Values from VASP.

Results
The uncorrected formation energy is 1464 kJ/mol of formula units. The density of states at the Fermi level comes out at 2.036 states/eV/atom.

The structure in Quantum ESPRESSO input format:
```
&SYSTEM
  ibrav = 0, nat = 5, ntyp = 4
/
ATOMIC_SPECIES
Ba 137.33 Ba.upf
Re 186.21 Re.upf
Sb 121.76 Sb.upf
Ru 101.07 Ru.upf
CELL_PARAMETERS angstrom
5.8367 0.0000 0.0000
0.0000 5.8367 0.0000
0.0000 0.0000 5.0955
ATOMIC_POSITIONS angstrom
Ba 0.0000 0.0000 0.0000
Re 0.0000 0.0000 2.5478
Sb 0.0000 2.9183 0.0000
Sb 2.9183 0.0000 0.0000
Ru 2.9183 2.9183 2.5478
```

Copy entry 3 word for word.
A geometry-optimized KLiPr2Cl8 structure. Source: Alexandria, functional GGA-PBE. Values from VASP.

Results
The uncorrected formation energy is -2445 kJ/mol of formula units. The density of states at the Fermi level comes out at 0.000 states/eV/atom.

The structure in Quantum ESPRESSO input format:
```
&SYSTEM
  ibrav = 0, nat = 12, ntyp = 4
/
ATOMIC_SPECIES
K 39.10 K.upf
Li 6.94 Li.upf
Pr 140.91 Pr.upf
Cl 35.45 Cl.upf
CELL_PARAMETERS angstrom
6.7221 0.0000 0.0000
0.0000 8.6593 0.0000
-0.7200 0.0000 6.6912
ATOMIC_POSITIONS angstrom
K 0.0000 0.0000 0.0000
Li 0.0000 4.3296 0.0000
Pr 3.0010 2.2309 3.3456
Pr 3.0010 6.4284 3.3456
Cl 1.2218 2.4819 1.3024
Cl 1.2218 6.1774 1.3024
Cl 1.5906 4.3296 4.5657
Cl 1.6684 0.0000 4.4924
Cl 4.3337 0.0000 2.1988
Cl 4.4114 4.3296 2.1255
Cl 4.7803 2.4819 5.3888
Cl 4.7803 6.1774 5.3888
```